# 1
SrTiOs3 | PBE | relaxed Values from VASP.

- E: -37.15 eV per formula unit
- Formation energy from the elements: 1.22 eV per atom
- Magnetization: 0.98 μB per formula unit
- Energy above the lowest structure with this stoichiometry: 0.000 eV per atom

```
&SYSTEM
  ibrav = 0, nat = 5, ntyp = 3
/
ATOMIC_SPECIES
Sr 87.62 Sr.upf
Ti 47.87 Ti.upf
Os 190.23 Os.upf
CELL_PARAMETERS angstrom
4.6983 0.0000 0.0000
0.0000 4.6983 0.0000
0.0000 0.0000 4.6983
ATOMIC_POSITIONS angstrom
Sr 0.0000 0.0000 0.0000
Ti 2.3491 2.3491 2.3491
Os 0.0000 2.3491 2.3491
Os 2.3491 0.0000 2.3491
Os 2.3491 2.3491 0.0000
```



# 2
Pm3MgAl | PBE | relaxed Values from VASP.

- E: -20.48 eV per formula unit
- Formation energy from the elements: -0.18 eV per atom
- Magnetization: 0.00 μB per formula unit
- Energy above the lowest structure with this stoichiometry: 0.000 eV per atom

```
&SYSTEM
  ibrav = 0, nat = 10, ntyp = 3
/
ATOMIC_SPECIES
Pm 145.00 Pm.upf
Mg 24.30 Mg.upf
Al 26.98 Al.upf
CELL_PARAMETERS angstrom
2.6513 -10.1647 0.0000
2.6513 10.1647 0.0000
0.0000 0.0000 5.3028
ATOMIC_POSITIONS angstrom
Pm 2.6513 8.8548 3.9771
Pm 2.6513 5.0760 3.9771
Pm 2.6513 1.2995 3.9771
Pm 2.6513 -1.2995 1.3257
Pm 2.6513 -5.0760 1.3257
Pm 2.6513 -8.8548 1.3257
Mg 2.6513 6.9576 1.3257
Mg 2.6513 -6.9576 3.9771
Al 2.6513 3.2272 1.3257
Al 2.6513 -3.2272 3.9771
```